Here is a geometry-optimized ZnRePd structure from the Alexandria database. Energies are from PBE.

abc: 4.794 2.747 6.949
angles: 90.00 103.22 90.00
Space group Pm (No. 6)
Asymmetric unit:
Zn  0.000  0.000  0.000 (multiplicity 1)
Zn  0.238  0.000  0.668 (multiplicity 1)
Re  0.485  0.000  0.318 (multiplicity 1)
Re  0.504  0.500  0.008 (multiplicity 1)
Pd  0.732  0.500  0.670 (multiplicity 1)
Pd  0.998  0.500  0.345 (multiplicity 1)

Computed properties:
ΔE_f ... 17 meV per atom
Total magnetic moment ... 0.00 Bohr magnetons per cell